# UPa2Ni (PBE, relaxed)
data_UPa2Ni
_chemical_formula_sum 'U3 Pa6 Ni3'
_symmetry_space_group_name_H-M 'R -3 m'
_symmetry_Int_Tables_number 166
_symmetry_space_group_name_Hall '-R 3 2"'
_cell_length_a 3.0343
_cell_length_b 3.0343
_cell_length_c 30.6775
_cell_angle_alpha 90.00
_cell_angle_beta 90.00
_cell_angle_gamma 120.00
loop_
_atom_site_label
_atom_site_fract_x
_atom_site_fract_y
_atom_site_fract_z
U1 0.0000 0.0000 0.0000
Pa1 0.0000 0.0000 0.0937
Ni1 0.0000 0.0000 0.5000
# - total magnetic moment (Bohr magnetons per cell) = 3.05
# - excess energy over the best structure of this formula in the dataset (meV/atom) = 316
# - formation enthalpy at 0 K (meV/atom) = 229
# - total energy (eV/cell) = -105.44
# - calculated volume (A^3/atom) = 20.38